Entry 1:
{
  "formula": "NaB3",
  "functional": "PBE",
  "state": "optimized geometry",
  "lattice_angstrom": [[2.9613, 0.0000, 0.0000], [0.0000, 2.9585, -1.4970], [0.0000, 3.0091, 9.6186]],
  "species": ["Na", "Na", "B", "B", "B", "B", "B", "B"],
  "fractional_positions": [[0.2500, 0.1713, 0.3426], [0.7500, 0.8287, 0.6574], [0.2500, 0.6826, 0.8772], [0.7500, 0.3174, 0.1228], [0.2500, 0.1945, 0.8772], [0.7500, 0.8055, 0.1228], [0.2500, 0.5313, 0.0627], [0.7500, 0.4687, 0.9373]],
  "e_tot_ev_per_cell": -40.04,
  "formation_energy_mev_per_atom": 332
}

Entry 2:
{
  "formula": "NaB",
  "functional": "PBE",
  "state": "optimized geometry",
  "lattice_angstrom": [[-1.2334, -16.4708, 4.8246], [2.3694, 0.3966, 1.9595], [-2.7812, 1.1265, 3.1349]],
  "species": ["Na", "Na", "Na", "Na", "Na", "Na", "B", "B", "B", "B", "B", "B"],
  "fractional_positions": [[0.8418, 0.0000, 0.5000], [0.1582, 0.0000, 0.5000], [0.3418, 0.5000, 0.5000], [0.6582, 0.5000, 0.5000], [0.5000, 0.0000, 0.0000], [0.0000, 0.5000, 0.0000], [0.7478, 0.0000, 0.0000], [0.2522, 0.0000, 0.0000], [0.2478, 0.5000, 0.0000], [0.7522, 0.5000, 0.0000], [0.0000, 0.0000, 0.5000], [0.5000, 0.5000, 0.5000]],
  "e_tot_ev_per_cell": -39.63,
  "formation_energy_mev_per_atom": 696
}

Entry 3:
{
  "formula": "NaB",
  "functional": "PBE",
  "state": "optimized geometry",
  "lattice_angstrom": [[-3.0671, -10.5900, 0.9384], [7.7526, -2.8961, -7.3448], [2.0695, -0.3921, 2.3391]],
  "species": ["Na", "Na", "Na", "Na", "Na", "Na", "Na", "Na", "B", "B", "B", "B", "B", "B", "B", "B"],
  "fractional_positions": [[0.6711, 0.6711, 0.5000], [0.6711, 0.3289, 0.5000], [0.3289, 0.6711, 0.5000], [0.3289, 0.3289, 0.5000], [0.3578, 0.0000, 0.0000], [0.6422, 0.0000, 0.0000], [0.0000, 0.6422, 0.0000], [0.0000, 0.3578, 0.0000], [0.8246, 0.5000, 0.5000], [0.1754, 0.5000, 0.5000], [0.5000, 0.1754, 0.5000], [0.5000, 0.8246, 0.5000], [0.8105, 0.5000, 0.0000], [0.1895, 0.5000, 0.0000], [0.5000, 0.1895, 0.0000], [0.5000, 0.8105, 0.0000]],
  "e_tot_ev_per_cell": -60.64,
  "formation_energy_mev_per_atom": 208
}